(1)
## BaZnN3 (SCAN)

Data for a crystal of BaZnN3 relaxed with PBEsol.

a b c (Å): 4.0957 4.0957 4.0957
angles (deg): 90.00 90.00 90.00
Fractional positions:
1 Zn 0.0000 0.0000 0.0000
2 Ba 0.5000 0.5000 0.5000
3 N 0.0000 0.5000 0.0000
4 N 0.0000 0.0000 0.5000
5 N 0.5000 0.0000 0.0000

## Properties
The value obtained for the electronic total energy is -15.35 eV/atom. The space group is Pm-3m. As for the spin magnetization: 4.4 μB per cell.

(2)
## RbLa2AsSe (SCAN)

Data for a crystal of RbLa2AsSe relaxed with PBEsol.

a b c (Å): 5.5864 5.5864 5.8280
angles (deg): 90.00 90.00 90.00
Fractional positions:
1 As 0.5000 0.5000 0.5000
2 Se 0.0000 0.0000 0.0000
3 Rb 0.0000 0.0000 0.5000
4 La 0.0000 0.5000 0.0000
5 La 0.5000 0.0000 0.0000

## Properties
The value obtained for the electronic total energy is -30.06 eV/atom. The space group is P4/mmm. As for the spin magnetization: 0.0 μB per cell.

Among the records above, which one has the lowest electronic total energy?
RbLa2AsSe

Which of these has the highest electronic total energy?
BaZnN3

Which of these has the lowest electronic total energy?
RbLa2AsSe